1.
The following is a GGA-PBE calculation of crystalline PrSm2Co at its relaxed geometry, from the Alexandria database.

Geometry as POSCAR:
```
PrSm2Co
1.0
3.8626 0.0000 0.0000
1.9313 3.3451 0.0000
1.9313 1.1150 9.2415
Pr Sm Co
1 2 1
Direct
0.5012 0.5012 0.4963
0.2775 0.2775 0.1676
0.0551 0.0551 0.8346
0.6662 0.6662 0.0014
```

Properties
Energy above the lowest structure with this stoichiometry = 98.3 meV/atom

2.
The following is a GGA-PBE calculation of crystalline PrSm2Co at its relaxed geometry, from the Alexandria database.

Geometry as POSCAR:
```
PrSm2Co
1.0
3.4891 0.0000 0.0000
0.0000 3.4891 0.0000
0.0000 0.0000 9.1662
Co Pr Sm
1 1 2
Direct
0.5000 0.5000 0.0000
0.5000 0.5000 0.5000
0.0000 0.0000 0.1789
0.0000 0.0000 0.8211
```

Properties
Energy above the lowest structure with this stoichiometry = 88.6 meV/atom

3.
The following is a GGA-PBE calculation of crystalline PrSm2Co at its relaxed geometry, from the Alexandria database.

Geometry as POSCAR:
```
PrSm2Co
1.0
-2.8878 1.1874 -2.0015
-3.2374 -1.8020 0.1657
-5.0411 5.9157 7.3464
Sm Pr Co
2 1 1
Direct
0.1151 0.1151 0.6548
0.8849 0.8849 0.3452
0.0000 0.0000 0.0000
0.5000 0.5000 0.5000
```

Properties
Energy above the lowest structure with this stoichiometry = 243.5 meV/atom

4.
The following is a GGA-PBE calculation of crystalline Pr4Sm2Co at its relaxed geometry, from the Alexandria database.

Geometry as POSCAR:
```
Pr4Sm2Co
1.0
-2.5630 -3.3747 -3.1345
4.5761 -2.2727 -1.2950
0.1274 -8.4636 4.5763
Pr Co Sm
4 1 2
Direct
0.1604 0.1604 0.6791
0.8396 0.8396 0.3209
0.5000 0.0000 0.0000
0.0000 0.5000 0.0000
0.0000 0.0000 0.0000
0.6496 0.6496 0.7008
0.3504 0.3504 0.2992
```

5.
The following is a GGA-PBE calculation of crystalline Pr3SmCo at its relaxed geometry, from the Alexandria database.

Geometry as POSCAR:
```
Pr3SmCo
1.0
5.4903 0.0000 0.0000
0.0000 5.4903 0.0000
0.0000 0.0000 5.4903
Pr Co Sm
3 1 1
Direct
0.5000 0.0000 0.0000
0.0000 0.5000 0.0000
0.0000 0.0000 0.5000
0.0000 0.0000 0.0000
0.5000 0.5000 0.5000
```

Properties
Energy above the lowest structure with this stoichiometry = 82.9 meV/atom

6.
The following is a GGA-PBE calculation of crystalline PrSm2Co3 at its relaxed geometry, from the Alexandria database.

Geometry as POSCAR:
```
PrSm2Co3
1.0
4.6126 0.0000 0.0000
0.0000 7.0325 -4.0282
0.0000 -0.0235 8.1118
Sm Co Pr
4 6 2
Direct
0.2500 0.8334 0.3358
0.7500 0.5024 0.3358
0.7500 0.1666 0.6642
0.2500 0.4976 0.6642
0.5000 0.8312 0.6624
0.0000 0.1688 0.3376
0.0000 0.5000 0.0000
0.5000 0.1688 0.3376
0.0000 0.8312 0.6624
0.5000 0.5000 0.0000
0.2500 0.1691 0.0000
0.7500 0.8309 0.0000
```

| no. | formation enthalpy at 0 K (eV per atom) |
| --- | --- |
| 1 | 0.018 |
| 2 | 0.009 |
| 3 | 0.164 |
| 4 | 0.277 |
| 5 | 0.111 |
| 6 | -0.078 |